No. 1
Computed, not measured: a relaxed Ta2ZnCo2 crystal at the PBEsol level of DFT.

Calculated values
Magnetic moment ... 0.00 Bohr magnetons per cell
Energy of formation from the pure elements ... -0.93 eV per formula unit
Fermi-level density of states ... 0.5047 states/eV/atom

Cell: 2.982 6.824 6.824 Å, 90.00 90.00 90.00°
Sites, in units of the cell vectors:
Zn 0.000 0.000 0.000
Zn 0.000 0.500 0.500
Co 0.000 0.372 0.872
Co 0.000 0.872 0.628
Co 0.000 0.628 0.128
Co 0.000 0.128 0.372
Ta 0.500 0.171 0.671
Ta 0.500 0.671 0.829
Ta 0.500 0.829 0.329
Ta 0.500 0.329 0.171

=====

No. 2
Computed, not measured: a relaxed AsIr2Au crystal at the PBEsol level of DFT.

Calculated values
Magnetic moment ... 0.00 Bohr magnetons per cell
Energy of formation from the pure elements ... 1.02 eV per formula unit
Fermi-level density of states ... 1.2579 states/eV/atom

Cell: 2.818 2.818 9.202 Å, 81.19 81.19 60.00°
Sites, in units of the cell vectors:
As 0.492 0.492 0.524
Ir 0.005 0.005 0.985
Ir 0.751 0.751 0.748
Au 0.252 0.252 0.243

=====

No. 3
Computed, not measured: a relaxed BaTlSb2 crystal at the PBEsol level of DFT.

Calculated values
Magnetic moment ... 0.00 Bohr magnetons per cell
ΔE to the lowest computed polymorph ... 14.4 meV/atom
Formation energy from raw total energies ... -0.49 eV/atom
Fermi-level density of states ... 0.4234 states/eV/atom

Cell: 4.885 4.885 6.180 Å, 113.28 113.28 90.00°
Sites, in units of the cell vectors:
Sb 0.750 0.250 0.500
Sb 0.250 0.750 0.500
Tl 0.000 0.000 0.000
Ba 0.500 0.500 0.000